1.
Density functional theory data (meta-GGA SCAN) for a crystal of TlZnSb2 relaxed with PBEsol.

```
data_TlZnSb2
_cell_length_a 3.8906
_cell_length_b 4.9388
_cell_length_c 5.1347
_cell_angle_alpha 90.00
_cell_angle_beta 90.00
_cell_angle_gamma 90.00
_space_group_name_H-M_alt 'P 1'
_space_group_IT_number 1
loop_
_space_group_symop_operation_xyz
'x,y,z'
loop_
_atom_site_label
_atom_site_fract_x
_atom_site_fract_y
_atom_site_fract_z
Tl1 0.5000 0.0000 0.5000
Sb1 0.0000 0.0000 0.0000
Sb2 0.5000 0.5000 0.0000
Zn1 0.0000 0.5000 0.5000
```

Calculated values
E_tot = -159.340 eV per cell
Total moment = 0.00 Bohr magnetons per cell
Energy relative to the elements, uncorrected = 0.26 eV/atom
E above lowest polymorph = 188 meV/atom

2.
Density functional theory data (meta-GGA SCAN) for a crystal of Tl2ZnSb2 relaxed with PBEsol.

```
data_Tl2ZnSb2
_cell_length_a 5.7321
_cell_length_b 7.0032
_cell_length_c 7.0032
_cell_angle_alpha 90.00
_cell_angle_beta 90.00
_cell_angle_gamma 90.00
_space_group_name_H-M_alt 'P 1'
_space_group_IT_number 1
loop_
_space_group_symop_operation_xyz
'x,y,z'
loop_
_atom_site_label
_atom_site_fract_x
_atom_site_fract_y
_atom_site_fract_z
Tl1 0.5000 0.3258 0.1742
Tl2 0.5000 0.6742 0.8258
Tl3 0.5000 0.8258 0.3258
Tl4 0.5000 0.1742 0.6742
Sb1 0.0000 0.8574 0.6426
Sb2 0.0000 0.6426 0.1426
Sb3 0.0000 0.1426 0.3574
Sb4 0.0000 0.3574 0.8574
Zn1 0.0000 0.5000 0.5000
Zn2 0.0000 0.0000 0.0000
```

Calculated values
E_tot = -464.853 eV per cell
Total moment = 0.00 Bohr magnetons per cell
Energy relative to the elements, uncorrected = 0.07 eV/atom

3.
Density functional theory data (meta-GGA SCAN) for a crystal of TlZn3Sb relaxed with PBEsol.

```
data_TlZn3Sb
_cell_length_a 5.0228
_cell_length_b 5.0228
_cell_length_c 5.0228
_cell_angle_alpha 90.00
_cell_angle_beta 90.00
_cell_angle_gamma 90.00
_space_group_name_H-M_alt 'P 1'
_space_group_IT_number 1
loop_
_space_group_symop_operation_xyz
'x,y,z'
loop_
_atom_site_label
_atom_site_fract_x
_atom_site_fract_y
_atom_site_fract_z
Zn1 0.5000 0.0000 0.0000
Zn2 0.0000 0.5000 0.0000
Zn3 0.0000 0.0000 0.5000
Tl1 0.0000 0.0000 0.0000
Sb1 0.5000 0.5000 0.5000
```

Calculated values
E_tot = -146.599 eV per cell
Total moment = 0.00 Bohr magnetons per cell
Energy relative to the elements, uncorrected = 0.71 eV/atom

4.
Density functional theory data (meta-GGA SCAN) for a crystal of TlZnSb2 relaxed with PBEsol.

```
data_TlZnSb2
_cell_length_a 3.3354
_cell_length_b 3.3354
_cell_length_c 8.7247
_cell_angle_alpha 90.00
_cell_angle_beta 90.00
_cell_angle_gamma 90.00
_space_group_name_H-M_alt 'P 1'
_space_group_IT_number 1
loop_
_space_group_symop_operation_xyz
'x,y,z'
loop_
_atom_site_label
_atom_site_fract_x
_atom_site_fract_y
_atom_site_fract_z
Sb1 0.5000 0.5000 0.2406
Sb2 0.0000 0.0000 0.9684
Tl1 0.0000 0.0000 0.5294
Zn1 0.5000 0.5000 0.7616
```

Calculated values
E_tot = -159.341 eV per cell
Total moment = 0.00 Bohr magnetons per cell
Energy relative to the elements, uncorrected = 0.26 eV/atom
E above lowest polymorph = 188 meV/atom

5.
Density functional theory data (meta-GGA SCAN) for a crystal of TlZnSb2 relaxed with PBEsol.

```
data_TlZnSb2
_cell_length_a 3.2683
_cell_length_b 4.1835
_cell_length_c 7.9580
_cell_angle_alpha 96.62
_cell_angle_beta 90.00
_cell_angle_gamma 112.99
_space_group_name_H-M_alt 'P 1'
_space_group_IT_number 1
loop_
_space_group_symop_operation_xyz
'x,y,z'
loop_
_atom_site_label
_atom_site_fract_x
_atom_site_fract_y
_atom_site_fract_z
Sb1 0.9863 0.9727 0.9690
Sb2 0.7550 0.5101 0.2414
Tl1 0.5074 0.0149 0.5283
Zn1 0.2512 0.5024 0.7612
```

Calculated values
E_tot = -159.788 eV per cell
Total moment = 0.00 Bohr magnetons per cell
Energy relative to the elements, uncorrected = 0.15 eV/atom
E above lowest polymorph = 76 meV/atom

6.
Density functional theory data (meta-GGA SCAN) for a crystal of TlZn2Sb2 relaxed with PBEsol.

```
data_TlZn2Sb2
_cell_length_a 3.9855
_cell_length_b 3.9855
_cell_length_c 8.2551
_cell_angle_alpha 103.97
_cell_angle_beta 103.97
_cell_angle_gamma 90.00
_space_group_name_H-M_alt 'P 1'
_space_group_IT_number 1
loop_
_space_group_symop_operation_xyz
'x,y,z'
loop_
_atom_site_label
_atom_site_fract_x
_atom_site_fract_y
_atom_site_fract_z
Tl1 0.0000 0.0000 0.0000
Zn1 0.7500 0.2500 0.5000
Zn2 0.2500 0.7500 0.5000
Sb1 0.3693 0.3693 0.7387
Sb2 0.6307 0.6307 0.2613
```

Calculated values
E_tot = -173.962 eV per cell
Total moment = 0.00 Bohr magnetons per cell
Energy relative to the elements, uncorrected = -0.01 eV/atom
E above lowest polymorph = 0 meV/atom